Computed, not measured: a relaxed Al2InTeW crystal at the PBE-GGA level of DFT.

abc: 5.3173 5.3173 5.0862
angles: 90.00 90.00 90.00
Element x y z (fractional)
Al  0.0000  0.5000  0.0000
Al  0.5000  0.0000  0.0000
In  0.0000  0.0000  0.5000
Te  0.5000  0.5000  0.0000
W  0.5000  0.5000  0.5000

Values from the calculation:
The total energy is -3.793 eV per atom. The calculation puts the total magnetization at 2.0 μB/cell.

=====

Computed, not measured: a relaxed BaNa3Sr3 crystal at the PBE-GGA level of DFT.

abc: 10.9849 10.9849 6.6193
angles: 90.00 90.00 120.00
Element x y z (fractional)
Ba  0.3333  0.6667  0.2500
Ba  0.6667  0.3333  0.7500
Na  0.0832  0.6137  0.7500
Na  0.3863  0.4695  0.7500
Na  0.4695  0.0832  0.2500
Na  0.5305  0.9168  0.7500
Na  0.6137  0.5305  0.2500
Na  0.9168  0.3863  0.2500
Sr  0.0135  0.7836  0.2500
Sr  0.2164  0.2298  0.2500
Sr  0.2298  0.0135  0.7500
Sr  0.7702  0.9865  0.2500
Sr  0.7836  0.7702  0.7500
Sr  0.9865  0.2164  0.7500

Values from the calculation:
Its formation enthalpy at 0 K is 0.04 eV/atom. The polymorph energy (0 for the lowest one) comes out at 0.0 meV per atom. The calculation puts the total magnetization at 0.0 μB/cell.

=====

Computed, not measured: a relaxed AlAuS2 crystal at the PBE-GGA level of DFT.

abc: 7.5187 7.5187 6.2063
angles: 106.65 106.65 27.55
Element x y z (fractional)
Al  0.0000  0.5000  0.0000
Al  0.5000  0.0000  0.5000
Au  0.0000  0.0000  0.0000
Au  0.0000  0.0000  0.5000
S  0.0679  0.6161  0.3932
S  0.3839  0.9321  0.1068
S  0.6161  0.0679  0.8932
S  0.9321  0.3839  0.6068

Values from the calculation:
The total energy is -4.502 eV per atom. The calculation puts the total magnetization at 0.0 μB/cell.

=====

Computed, not measured: a relaxed AcErTm2S4 crystal at the PBE-GGA level of DFT.

abc: 6.8372 3.8975 7.0217
angles: 90.00 108.52 90.00
Element x y z (fractional)
Ac  0.0000  0.0000  0.0000
Er  0.5000  0.5000  0.0000
Tm  0.0000  0.5000  0.5000
Tm  0.5000  0.0000  0.5000
S  0.2586  0.0000  0.7357
S  0.2722  0.5000  0.2752
S  0.7278  0.5000  0.7248
S  0.7414  0.0000  0.2643

Values from the calculation:
The total energy is -6.170 eV per atom. The calculation puts the total magnetization at 0.0 μB/cell.

=====

Computed, not measured: a relaxed Sc2SeBr crystal at the PBE-GGA level of DFT.

abc: 3.6266 4.0531 6.2375
angles: 90.00 90.00 90.00
Element x y z (fractional)
Sc  0.0000  0.0000  0.0000
Sc  0.5000  0.0000  0.5000
Se  0.0000  0.5000  0.5000
Br  0.5000  0.5000  0.0000

Values from the calculation:
The polymorph energy (0 for the lowest one) comes out at 326.5 meV per atom. The calculation puts the total magnetization at 0.0 μB/cell.

=====

Computed, not measured: a relaxed Zr6TiCd crystal at the PBE-GGA level of DFT.

abc: 4.4481 4.4481 8.9357
angles: 90.00 90.00 90.00
Element x y z (fractional)
Zr  0.0000  0.0000  0.0000
Zr  0.0000  0.0000  0.5000
Zr  0.0000  0.5000  0.2440
Zr  0.0000  0.5000  0.7560
Zr  0.5000  0.0000  0.2440
Zr  0.5000  0.0000  0.7560
Ti  0.5000  0.5000  0.0000
Cd  0.5000  0.5000  0.5000

Values from the calculation:
Its formation enthalpy at 0 K is -0.01 eV/atom. The calculation puts the total magnetization at 0.0 μB/cell.

=====

Result set for V: 28.8 49.4 19.4 22.2 22.9 22.1 Å³ per atom, one per record in the order listed.